#i
A plane-wave DFT calculation with GGA-PBE was carried out for PuZr2Pt after structural relaxation.

```
data_PuZr2Pt
_cell_length_a 6.883
_cell_length_b 6.883
_cell_length_c 6.883
_cell_angle_alpha 90.00
_cell_angle_beta 90.00
_cell_angle_gamma 90.00
_space_group_name_H-M_alt 'F m -3 m'
_space_group_IT_number 225
_space_group_name_Hall '-F 4 2 3'
loop_
_atom_site_label
_atom_site_type_symbol
_atom_site_fract_x
_atom_site_fract_y
_atom_site_fract_z
Pu1 Pu 0.000 0.000 0.000
Zr1 Zr 0.250 0.250 0.250
Pt1 Pt 0.000 0.000 0.500
```

## Properties
- density (g cm⁻³) = 12.7
- crystal system = cubic
- Fermi-level density of states (states/eV/atom) = 4.17

***

#ii
A plane-wave DFT calculation with GGA-PBE was carried out for PuZr2Pt after structural relaxation.

```
data_PuZr2Pt
_cell_length_a 3.2833
_cell_length_b 3.2833
_cell_length_c 28.2446
_cell_angle_alpha 90.00
_cell_angle_beta 90.00
_cell_angle_gamma 120.00
_space_group_name_H-M_alt 'R -3 m'
_space_group_IT_number 166
_space_group_name_Hall '-R 3 2"'
loop_
_atom_site_label
_atom_site_type_symbol
_atom_site_fract_x
_atom_site_fract_y
_atom_site_fract_z
Pu1 Pu 0.0000 0.0000 0.0000
Zr1 Zr 0.0000 0.0000 0.2408
Pt1 Pt 0.0000 0.0000 0.5000
```

## Properties
- density (g cm⁻³) = 11.7
- crystal system = trigonal
- Fermi-level density of states (states/eV/atom) = 2.03

***

Stability check: which of them is most stable? #i.

***

#i
A plane-wave DFT calculation with GGA-PBE was carried out for Rb3Pt5 after structural relaxation.

```
data_Rb3Pt5
_cell_length_a 8.980
_cell_length_b 9.754
_cell_length_c 4.019
_cell_angle_alpha 90.00
_cell_angle_beta 90.00
_cell_angle_gamma 90.00
_space_group_name_H-M_alt 'C m m m'
_space_group_IT_number 65
_space_group_name_Hall '-C 2 2'
loop_
_atom_site_label
_atom_site_type_symbol
_atom_site_fract_x
_atom_site_fract_y
_atom_site_fract_z
Rb1 Rb 0.000 0.000 0.000
Rb2 Rb 0.241 0.000 0.500
Pt1 Pt 0.000 0.297 0.500
Pt2 Pt 0.000 0.500 0.000
Pt3 Pt 0.250 0.250 0.000
```

## Properties
- density (g cm⁻³) = 11.6
- crystal system = orthorhombic
- Fermi-level density of states (states/eV/atom) = 0.80

***

#ii
A plane-wave DFT calculation with GGA-PBE was carried out for Rb3Pt5 after structural relaxation.

```
data_Rb3Pt5
_cell_length_a 5.084
_cell_length_b 23.206
_cell_length_c 9.229
_cell_angle_alpha 90.00
_cell_angle_beta 105.66
_cell_angle_gamma 90.00
_space_group_name_H-M_alt 'C 1 2/m 1'
_space_group_IT_number 12
_space_group_name_Hall '-C 2y'
loop_
_atom_site_label
_atom_site_type_symbol
_atom_site_fract_x
_atom_site_fract_y
_atom_site_fract_z
Rb1 Rb 0.000 0.156 0.000
Rb2 Rb 0.000 0.308 0.500
Rb3 Rb 0.201 0.000 0.889
Pt1 Pt 0.078 0.097 0.647
Pt2 Pt 0.098 0.424 0.691
Pt3 Pt 0.247 0.000 0.498
```

## Properties
- density (g cm⁻³) = 7.8
- crystal system = monoclinic
- Fermi-level density of states (states/eV/atom) = 1.02

***

#iii
A plane-wave DFT calculation with GGA-PBE was carried out for Rb3Pt5 after structural relaxation.

```
data_Rb3Pt5
_cell_length_a 11.0397
_cell_length_b 11.0397
_cell_length_c 4.7889
_cell_angle_alpha 90.00
_cell_angle_beta 90.00
_cell_angle_gamma 120.00
_space_group_name_H-M_alt 'P 63/m c m'
_space_group_IT_number 193
_space_group_name_Hall '-P 6c 2'
loop_
_atom_site_label
_atom_site_type_symbol
_atom_site_fract_x
_atom_site_fract_y
_atom_site_fract_z
Rb1 Rb 0.0000 0.3686 0.2500
Pt1 Pt 0.0000 0.1383 0.7500
Pt2 Pt 0.3333 0.6667 0.0000
```

## Properties
- density (g cm⁻³) = 8.1
- crystal system = hexagonal
- Fermi-level density of states (states/eV/atom) = 1.32

***

Stability check: which of them is most stable? #ii.

***

#i
A plane-wave DFT calculation with GGA-PBE was carried out for Rb4Pt after structural relaxation.

```
data_Rb4Pt
_cell_length_a 6.722
_cell_length_b 6.722
_cell_length_c 6.722
_cell_angle_alpha 90.00
_cell_angle_beta 90.00
_cell_angle_gamma 90.00
_space_group_name_H-M_alt 'P m -3 m'
_space_group_IT_number 221
_space_group_name_Hall '-P 4 2 3'
loop_
_atom_site_label
_atom_site_type_symbol
_atom_site_fract_x
_atom_site_fract_y
_atom_site_fract_z
Rb1 Rb 0.000 0.000 0.000
Rb2 Rb 0.000 0.500 0.500
Pt1 Pt 0.500 0.500 0.500
```

## Properties
- density (g cm⁻³) = 2.9
- crystal system = cubic
- Fermi-level density of states (states/eV/atom) = 0.26

***

#ii
A plane-wave DFT calculation with GGA-PBE was carried out for Rb4Pt after structural relaxation.

```
data_Rb4Pt
_cell_length_a 8.696
_cell_length_b 8.696
_cell_length_c 8.291
_cell_angle_alpha 90.00
_cell_angle_beta 90.00
_cell_angle_gamma 90.00
_space_group_name_H-M_alt 'P 4/m c c'
_space_group_IT_number 124
_space_group_name_Hall '-P 4 2c'
loop_
_atom_site_label
_atom_site_type_symbol
_atom_site_fract_x
_atom_site_fract_y
_atom_site_fract_z
Rb1 Rb 0.159 0.271 0.000
Pt1 Pt 0.000 0.000 0.250
```

## Properties
- density (g cm⁻³) = 2.8
- crystal system = tetragonal
- Fermi-level density of states (states/eV/atom) = 0.52

***

#iii
A plane-wave DFT calculation with GGA-PBE was carried out for Rb4Pt after structural relaxation.

```
data_Rb4Pt
_cell_length_a 5.221
_cell_length_b 5.221
_cell_length_c 23.553
_cell_angle_alpha 90.00
_cell_angle_beta 90.00
_cell_angle_gamma 90.00
_space_group_name_H-M_alt 'I 4/m m m'
_space_group_IT_number 139
_space_group_name_Hall '-I 4 2'
loop_
_atom_site_label
_atom_site_type_symbol
_atom_site_fract_x
_atom_site_fract_y
_atom_site_fract_z
Rb1 Rb 0.000 0.000 0.071
Rb2 Rb 0.000 0.500 0.250
Pt1 Pt 0.000 0.000 0.500
```

## Properties
- density (g cm⁻³) = 2.8
- crystal system = tetragonal
- Fermi-level density of states (states/eV/atom) = 1.90

***

Stability check: which of them is most stable? #ii.

***

#i
A plane-wave DFT calculation with GGA-PBE was carried out for RbPt4 after structural relaxation.

```
data_RbPt4
_cell_length_a 7.372
_cell_length_b 6.360
_cell_length_c 5.641
_cell_angle_alpha 90.00
_cell_angle_beta 126.51
_cell_angle_gamma 90.00
_space_group_name_H-M_alt 'C 1 2/m 1'
_space_group_IT_number 12
_space_group_name_Hall '-C 2y'
loop_
_atom_site_label
_atom_site_type_symbol
_atom_site_fract_x
_atom_site_fract_y
_atom_site_fract_z
Rb1 Rb 0.000 0.000 0.000
Pt1 Pt 0.000 0.282 0.500
Pt2 Pt 0.175 0.500 0.283
```

## Properties
- density (g cm⁻³) = 13.5
- crystal system = monoclinic
- Fermi-level density of states (states/eV/atom) = 1.49

***

#ii
A plane-wave DFT calculation with GGA-PBE was carried out for RbPt4 after structural relaxation.

```
data_RbPt4
_cell_length_a 4.935
_cell_length_b 4.935
_cell_length_c 4.935
_cell_angle_alpha 90.00
_cell_angle_beta 90.00
_cell_angle_gamma 90.00
_space_group_name_H-M_alt 'P m -3 m'
_space_group_IT_number 221
_space_group_name_Hall '-P 4 2 3'
loop_
_atom_site_label
_atom_site_type_symbol
_atom_site_fract_x
_atom_site_fract_y
_atom_site_fract_z
Rb1 Rb 0.000 0.000 0.000
Pt1 Pt 0.000 0.000 0.500
Pt2 Pt 0.500 0.500 0.500
```

## Properties
- density (g cm⁻³) = 12.0
- crystal system = cubic
- Fermi-level density of states (states/eV/atom) = 1.40

***

Stability check: which of them is most stable? #i.

***

#i
A plane-wave DFT calculation with GGA-PBE was carried out for RbPt3 after structural relaxation.

```
data_RbPt3
_cell_length_a 8.711
_cell_length_b 15.370
_cell_length_c 2.819
_cell_angle_alpha 90.00
_cell_angle_beta 90.00
_cell_angle_gamma 90.00
_space_group_name_H-M_alt 'C m c m'
_space_group_IT_number 63
_space_group_name_Hall '-C 2c 2'
loop_
_atom_site_label
_atom_site_type_symbol
_atom_site_fract_x
_atom_site_fract_y
_atom_site_fract_z
Rb1 Rb 0.000 0.121 0.250
Pt1 Pt 0.000 0.426 0.250
Pt2 Pt 0.157 0.300 0.750
```

## Properties
- density (g cm⁻³) = 11.8
- crystal system = orthorhombic
- Fermi-level density of states (states/eV/atom) = 0.82

***

#ii
A plane-wave DFT calculation with GGA-PBE was carried out for RbPt3 after structural relaxation.

```
data_RbPt3
_cell_length_a 5.314
_cell_length_b 5.314
_cell_length_c 5.314
_cell_angle_alpha 90.00
_cell_angle_beta 90.00
_cell_angle_gamma 90.00
_space_group_name_H-M_alt 'P m -3 m'
_space_group_IT_number 221
_space_group_name_Hall '-P 4 2 3'
loop_
_atom_site_label
_atom_site_type_symbol
_atom_site_fract_x
_atom_site_fract_y
_atom_site_fract_z
Rb1 Rb 0.000 0.000 0.000
Pt1 Pt 0.000 0.000 0.500
```

## Properties
- density (g cm⁻³) = 7.4
- crystal system = cubic
- Fermi-level density of states (states/eV/atom) = 2.53

***

Stability check: which of them is most stable? #i.

***

#i
A plane-wave DFT calculation with GGA-PBE was carried out for RbPt3 after structural relaxation.

```
data_RbPt3
_cell_length_a 2.842
_cell_length_b 4.339
_cell_length_c 7.373
_cell_angle_alpha 90.00
_cell_angle_beta 90.00
_cell_angle_gamma 90.00
_space_group_name_H-M_alt 'P m m 2'
_space_group_IT_number 25
_space_group_name_Hall 'P 2 -2'
loop_
_atom_site_label
_atom_site_type_symbol
_atom_site_fract_x
_atom_site_fract_y
_atom_site_fract_z
Rb1 Rb 0.000 0.000 0.000
Pt1 Pt 0.000 0.500 0.363
Pt2 Pt 0.500 0.000 0.466
Pt3 Pt 0.500 0.500 0.688
```

## Properties
- density (g cm⁻³) = 12.3
- crystal system = orthorhombic
- Fermi-level density of states (states/eV/atom) = 1.12

***

#ii
A plane-wave DFT calculation with GGA-PBE was carried out for RbPt3 after structural relaxation.

```
data_RbPt3
_cell_length_a 2.8875
_cell_length_b 2.8875
_cell_length_c 31.1826
_cell_angle_alpha 90.00
_cell_angle_beta 90.00
_cell_angle_gamma 120.00
_space_group_name_H-M_alt 'R -3 m'
_space_group_IT_number 166
_space_group_name_Hall '-R 3 2"'
loop_
_atom_site_label
_atom_site_type_symbol
_atom_site_fract_x
_atom_site_fract_y
_atom_site_fract_z
Rb1 Rb 0.0000 0.0000 0.0000
Pt1 Pt 0.0000 0.0000 0.2404
Pt2 Pt 0.0000 0.0000 0.5000
```

## Properties
- density (g cm⁻³) = 14.8
- crystal system = trigonal
- Fermi-level density of states (states/eV/atom) = 1.21

***

Stability check: which of them is most stable? #i.

***

#i
A plane-wave DFT calculation with GGA-PBE was carried out for RbPt3 after structural relaxation.

```
data_RbPt3
_cell_length_a 4.350
_cell_length_b 4.350
_cell_length_c 8.203
_cell_angle_alpha 90.00
_cell_angle_beta 90.00
_cell_angle_gamma 90.00
_space_group_name_H-M_alt 'I 4/m m m'
_space_group_IT_number 139
_space_group_name_Hall '-I 4 2'
loop_
_atom_site_label
_atom_site_type_symbol
_atom_site_fract_x
_atom_site_fract_y
_atom_site_fract_z
Rb1 Rb 0.000 0.000 0.000
Pt1 Pt 0.000 0.000 0.500
Pt2 Pt 0.000 0.500 0.250
```

## Properties
- density (g cm⁻³) = 14.4
- crystal system = tetragonal
- Fermi-level density of states (states/eV/atom) = 1.77

***

#ii
A plane-wave DFT calculation with GGA-PBE was carried out for RbPt3 after structural relaxation.

```
data_RbPt3
_cell_length_a 3.794
_cell_length_b 3.794
_cell_length_c 28.671
_cell_angle_alpha 90.00
_cell_angle_beta 90.00
_cell_angle_gamma 90.00
_space_group_name_H-M_alt 'I 4/m m m'
_space_group_IT_number 139
_space_group_name_Hall '-I 4 2'
loop_
_atom_site_label
_atom_site_type_symbol
_atom_site_fract_x
_atom_site_fract_y
_atom_site_fract_z
Rb1 Rb 0.000 0.000 0.147
Pt1 Pt 0.000 0.000 0.436
Pt2 Pt 0.000 0.500 0.000
Pt3 Pt 0.000 0.500 0.250
```

## Properties
- density (g cm⁻³) = 10.8
- crystal system = tetragonal
- Fermi-level density of states (states/eV/atom) = 1.66

***

#iii
A plane-wave DFT calculation with GGA-PBE was carried out for RbPt3 after structural relaxation.

```
data_RbPt3
_cell_length_a 2.928
_cell_length_b 2.928
_cell_length_c 9.266
_cell_angle_alpha 90.00
_cell_angle_beta 90.00
_cell_angle_gamma 90.00
_space_group_name_H-M_alt 'P 4/m m m'
_space_group_IT_number 123
_space_group_name_Hall '-P 4 2'
loop_
_atom_site_label
_atom_site_type_symbol
_atom_site_fract_x
_atom_site_fract_y
_atom_site_fract_z
Rb1 Rb 0.000 0.000 0.000
Pt1 Pt 0.000 0.000 0.500
Pt2 Pt 0.500 0.500 0.301
```

## Properties
- density (g cm⁻³) = 14.0
- crystal system = tetragonal
- Fermi-level density of states (states/eV/atom) = 1.56

***

Stability check: which of them is most stable? #iii.

***

#i
A plane-wave DFT calculation with GGA-PBE was carried out for RbPt3 after structural relaxation.

```
data_RbPt3
_cell_length_a 8.9924
_cell_length_b 8.9924
_cell_length_c 5.8819
_cell_angle_alpha 90.00
_cell_angle_beta 90.00
_cell_angle_gamma 120.00
_space_group_name_H-M_alt 'P 63/m m c'
_space_group_IT_number 194
_space_group_name_Hall '-P 6c 2c'
loop_
_atom_site_label
_atom_site_type_symbol
_atom_site_fract_x
_atom_site_fract_y
_atom_site_fract_z
Rb1 Rb 0.0000 0.0000 0.0000
Rb2 Rb 0.3333 0.6667 0.2500
Pt1 Pt 0.0000 0.5000 0.0000
Pt2 Pt 0.2322 0.4644 0.7500
```

## Properties
- density (g cm⁻³) = 10.8
- crystal system = hexagonal
- Fermi-level density of states (states/eV/atom) = 1.36

***

#ii
A plane-wave DFT calculation with GGA-PBE was carried out for RbPt3 after structural relaxation.

```
data_RbPt3
_cell_length_a 9.6720
_cell_length_b 9.6720
_cell_length_c 2.8203
_cell_angle_alpha 90.00
_cell_angle_beta 90.00
_cell_angle_gamma 120.00
_space_group_name_H-M_alt 'R -3 m'
_space_group_IT_number 166
_space_group_name_Hall '-R 3 2"'
loop_
_atom_site_label
_atom_site_type_symbol
_atom_site_fract_x
_atom_site_fract_y
_atom_site_fract_z
Rb1 Rb 0.0000 0.0000 0.0000
Pt1 Pt 0.0000 0.5000 0.0000
```

## Properties
- density (g cm⁻³) = 14.6
- crystal system = trigonal
- Fermi-level density of states (states/eV/atom) = 1.31

***

#iii
A plane-wave DFT calculation with GGA-PBE was carried out for RbPt3 after structural relaxation.

```
data_RbPt3
_cell_length_a 5.474
_cell_length_b 5.474
_cell_length_c 5.474
_cell_angle_alpha 90.00
_cell_angle_beta 90.00
_cell_angle_gamma 90.00
_space_group_name_H-M_alt 'P m -3 n'
_space_group_IT_number 223
_space_group_name_Hall '-P 4n 2 3'
loop_
_atom_site_label
_atom_site_type_symbol
_atom_site_fract_x
_atom_site_fract_y
_atom_site_fract_z
Rb1 Rb 0.000 0.000 0.000
Pt1 Pt 0.000 0.250 0.500
```

## Properties
- density (g cm⁻³) = 13.6
- crystal system = cubic
- Fermi-level density of states (states/eV/atom) = 2.38

***

Stability check: which of them is most stable? #i.